(1)
# LiGa3Ag6 (PBE, optimized geometry)
# DOS(E_F)   15.139 states/eV per cell
# Electronic total energy   -2.826 eV per atom
# ΔE to the lowest computed polymorph   0 meV per atom
data_LiGa3Ag6
_cell_length_a 10.0023
_cell_length_b 10.0023
_cell_length_c 12.3443
_cell_angle_alpha 90.00
_cell_angle_beta 90.00
_cell_angle_gamma 120.00
_space_group_name_H-M_alt 'R -3'
_space_group_IT_number 148
_space_group_name_Hall '-R 3'
loop_
_atom_site_label
_atom_site_type_symbol
_atom_site_fract_x
_atom_site_fract_y
_atom_site_fract_z
Li1 Li 0.0000 0.0000 0.0000
Li2 Li 0.0000 0.0000 0.5000
Ga1 Ga 0.0589 0.4646 0.0843
Ag1 Ag 0.0253 0.5729 0.7093
Ag2 Ag 0.0431 0.8597 0.8047

(2)
# LiGa2Ag (PBE, optimized geometry)
# DOS(E_F)   4.929 states/eV per cell
# Electronic total energy   -2.866 eV per atom
# ΔE to the lowest computed polymorph   23 meV per atom
data_LiGa2Ag
_cell_length_a 6.445
_cell_length_b 6.445
_cell_length_c 6.445
_cell_angle_alpha 90.00
_cell_angle_beta 90.00
_cell_angle_gamma 90.00
_space_group_name_H-M_alt 'F m -3 m'
_space_group_IT_number 225
_space_group_name_Hall '-F 4 2 3'
loop_
_atom_site_label
_atom_site_type_symbol
_atom_site_fract_x
_atom_site_fract_y
_atom_site_fract_z
Li1 Li 0.000 0.000 0.000
Ga1 Ga 0.250 0.250 0.250
Ag1 Ag 0.000 0.000 0.500

(3)
# LiGa3Ag (PBE, optimized geometry)
# DOS(E_F)   1.854 states/eV per cell
# Electronic total energy   -2.846 eV per atom
# ΔE to the lowest computed polymorph   0 meV per atom
data_LiGa3Ag
_cell_length_a 6.166
_cell_length_b 5.496
_cell_length_c 6.207
_cell_angle_alpha 90.00
_cell_angle_beta 110.00
_cell_angle_gamma 90.00
_space_group_name_H-M_alt 'P 1 21/m 1'
_space_group_IT_number 11
loop_
_space_group_symop_operation_xyz
'x,y,z'
'-x,-y,-z'
'-x,y+1/2,-z'
'x,-y+1/2,z'
loop_
_atom_site_label
_atom_site_type_symbol
_atom_site_fract_x
_atom_site_fract_y
_atom_site_fract_z
Li1 Li 0.230 0.250 0.271
Ga1 Ga 0.307 0.000 0.806
Ga2 Ga 0.317 0.750 0.177
Ag1 Ag 0.070 0.750 0.431

(4)
# Li4GaAg7 (PBE, optimized geometry)
# DOS(E_F)   2.604 states/eV per cell
# Electronic total energy   -2.723 eV per atom
# ΔE to the lowest computed polymorph   0 meV per atom
data_Li4GaAg7
_cell_length_a 5.114
_cell_length_b 5.615
_cell_length_c 7.633
_cell_angle_alpha 73.03
_cell_angle_beta 72.68
_cell_angle_gamma 86.42
_space_group_name_H-M_alt 'P -1'
_space_group_IT_number 2
loop_
_space_group_symop_operation_xyz
'x,y,z'
'-x,-y,-z'
loop_
_atom_site_label
_atom_site_type_symbol
_atom_site_fract_x
_atom_site_fract_y
_atom_site_fract_z
Li1 Li 0.166 0.173 0.336
Li2 Li 0.327 0.574 0.670
Ga1 Ga 0.500 0.000 0.000
Ag1 Ag 0.016 0.249 0.004
Ag2 Ag 0.164 0.676 0.335
Ag3 Ag 0.351 0.080 0.660
Ag4 Ag 0.500 0.500 0.000

(5)
# LiGa5Ag (PBE, optimized geometry)
# DOS(E_F)   1.709 states/eV per cell
# Electronic total energy   -2.927 eV per atom
data_LiGa5Ag
_cell_length_a 4.508
_cell_length_b 4.508
_cell_length_c 6.347
_cell_angle_alpha 90.00
_cell_angle_beta 90.00
_cell_angle_gamma 90.00
_space_group_name_H-M_alt 'P 4/m m m'
_space_group_IT_number 123
_space_group_name_Hall '-P 4 2'
loop_
_atom_site_label
_atom_site_type_symbol
_atom_site_fract_x
_atom_site_fract_y
_atom_site_fract_z
Li1 Li 0.000 0.000 0.000
Ga1 Ga 0.000 0.500 0.265
Ga2 Ga 0.500 0.500 0.000
Ag1 Ag 0.000 0.000 0.500

(6)
# Li5GaAg2 (PBE, optimized geometry)
# DOS(E_F)   2.745 states/eV per cell
# Electronic total energy   -2.488 eV per atom
data_Li5GaAg2
_cell_length_a 4.227
_cell_length_b 4.227
_cell_length_c 14.550
_cell_angle_alpha 90.00
_cell_angle_beta 90.00
_cell_angle_gamma 90.00
_space_group_name_H-M_alt 'I 4/m m m'
_space_group_IT_number 139
_space_group_name_Hall '-I 4 2'
loop_
_atom_site_label
_atom_site_type_symbol
_atom_site_fract_x
_atom_site_fract_y
_atom_site_fract_z
Li1 Li 0.000 0.000 0.000
Li2 Li 0.000 0.500 0.128
Ga1 Ga 0.000 0.000 0.500
Ag1 Ag 0.000 0.000 0.252

Question: Among the records above, which one has the lowest electronic total energy?
Answer: LiGa5Ag

Question: The lowest DOS(E_F) belongs to which entry?
Answer: LiGa5Ag

Please write out number 6 again, unchanged.
# Li5GaAg2 (PBE, optimized geometry)
# DOS(E_F)   2.745 states/eV per cell
# Electronic total energy   -2.488 eV per atom
data_Li5GaAg2
_cell_length_a 4.227
_cell_length_b 4.227
_cell_length_c 14.550
_cell_angle_alpha 90.00
_cell_angle_beta 90.00
_cell_angle_gamma 90.00
_space_group_name_H-M_alt 'I 4/m m m'
_space_group_IT_number 139
_space_group_name_Hall '-I 4 2'
loop_
_atom_site_label
_atom_site_type_symbol
_atom_site_fract_x
_atom_site_fract_y
_atom_site_fract_z
Li1 Li 0.000 0.000 0.000
Li2 Li 0.000 0.500 0.128
Ga1 Ga 0.000 0.000 0.500
Ag1 Ag 0.000 0.000 0.252

Question: Which formula does entry 4 have?
Answer: Li4GaAg7